Below is a geometry-optimized Mg2RuN3 structure, with properties calculated at the GGA-PBE level.

Lattice parameters (Å, degrees): 5.559 5.559 14.931 91.88 91.88 138.33
Sites, in units of the cell vectors:
Mg (0.053, 0.600, 0.653)
Mg (0.149, 0.369, 0.023)
Mg (0.369, 0.149, 0.523)
Mg (0.400, 0.947, 0.847)
Mg (0.600, 0.053, 0.153)
Mg (0.631, 0.851, 0.477)
Mg (0.851, 0.631, 0.977)
Mg (0.947, 0.400, 0.347)
Ru (0.151, 0.260, 0.833)
Ru (0.260, 0.151, 0.333)
Ru (0.740, 0.849, 0.667)
Ru (0.849, 0.740, 0.167)
N (0.040, 0.606, 0.104)
N (0.075, 0.925, 0.750)
N (0.177, 0.295, 0.432)
N (0.295, 0.177, 0.932)
N (0.384, 0.616, 0.750)
N (0.394, 0.960, 0.396)
N (0.606, 0.040, 0.604)
N (0.616, 0.384, 0.250)
N (0.705, 0.823, 0.068)
N (0.823, 0.705, 0.568)
N (0.925, 0.075, 0.250)
N (0.960, 0.394, 0.896)

- volume (A^3/atom) = 12.725
- formation energy without anion corrections (kJ/mol of formula units) = -70
- space-group type = No. 15
- energy above the lowest structure with this stoichiometry (eV/atom) = 0.1298